# 1
VASP calculation (PBE+U) on FeMoIO2 after structural relaxation.

The value obtained for the relative energy among the computed polymorphs is 0.00 kcal/mol of atoms. The calculation puts the calculated total energy at -26.45 eV for the cell shown.

It has space group P4/mmm (No. 123), with a = 3.942 Å, b = 3.942 Å, c = 7.477 Å, α = 90.00°, β = 90.00° and γ = 90.00°. The inequivalent atoms are Fe at (0.000, 0.000, 0.000), Mo at (0.500, 0.500, 0.500), I at (0.500, 0.500, 0.000) and O at (0.000, 0.500, 0.500).

=====

# 2
VASP calculation (PBE+U) on FeMoI2O after structural relaxation.

The value obtained for the relative energy among the computed polymorphs is 0.65 kcal/mol of atoms. The calculation puts the calculated total energy at -20.79 eV for the cell shown.

It has space group P4/mmm (No. 123), with a = 5.736 Å, b = 5.736 Å, c = 3.717 Å, α = 90.00°, β = 90.00° and γ = 90.00°. The inequivalent atoms are Fe at (0.000, 0.000, 0.000), Mo at (0.500, 0.500, 0.500), I at (0.000, 0.500, 0.000) and O at (0.000, 0.000, 0.500).

=====

# 3
VASP calculation (PBE+U) on FeMoI2O after structural relaxation.

The value obtained for the relative energy among the computed polymorphs is 0.00 kcal/mol of atoms. The calculation puts the calculated total energy at -20.93 eV for the cell shown.

It has space group P4/mmm (No. 123), with a = 5.897 Å, b = 5.897 Å, c = 3.891 Å, α = 90.00°, β = 90.00° and γ = 90.00°. The inequivalent atoms are Fe at (0.000, 0.000, 0.000), Mo at (0.500, 0.500, 0.500), I at (0.000, 0.500, 0.500) and O at (0.500, 0.500, 0.000).